Entry 1:
Material: Pm6Cd2Ir
Method: DFT, GGA-PBE
State: relaxed

abc: 8.831 8.831 8.831
angles: 113.41 109.71 105.40
Atoms (fractional coordinates):
Pm1 0.078 0.244 0.834
Pm2 0.180 0.270 0.450
Pm3 0.180 0.730 0.910
Pm4 0.266 0.599 0.332
Pm5 0.266 0.934 0.668
Pm6 0.409 0.244 0.166
Pm7 0.591 0.756 0.834
Pm8 0.734 0.066 0.332
Pm9 0.734 0.401 0.668
Pm10 0.820 0.270 0.090
Pm11 0.820 0.730 0.550
Pm12 0.922 0.756 0.166
Cd1 0.360 0.000 0.360
Cd2 0.500 0.357 0.857
Cd3 0.500 0.643 0.143
Cd4 0.640 0.000 0.640
Ir1 0.000 0.000 0.000
Ir2 0.000 0.500 0.500

## Properties
SG: Immm, No. 71
size of the total moment: 0.00 μB/cell


Entry 2:
Material: Pm3Cd2Ir
Method: DFT, GGA-PBE
State: relaxed

abc: 8.228 8.228 7.703
angles: 90.00 90.00 143.46
Atoms (fractional coordinates):
Pm1 0.000 0.000 0.235
Pm2 0.000 0.000 0.765
Pm3 0.324 0.676 0.219
Pm4 0.324 0.676 0.781
Pm5 0.676 0.324 0.219
Pm6 0.676 0.324 0.781
Cd1 0.165 0.835 0.500
Cd2 0.500 0.500 0.000
Cd3 0.500 0.500 0.500
Cd4 0.835 0.165 0.500
Ir1 0.150 0.850 0.000
Ir2 0.850 0.150 0.000

## Properties
SG: Cmmm, No. 65
size of the total moment: 0.00 μB/cell


Entry 3:
Material: Pm5CdIr3
Method: DFT, GGA-PBE
State: relaxed

abc: 8.753 8.753 6.682
angles: 90.00 90.00 120.00
Atoms (fractional coordinates):
Pm1 0.000 0.298 0.250
Pm2 0.000 0.702 0.750
Pm3 0.298 0.000 0.250
Pm4 0.298 0.298 0.750
Pm5 0.333 0.667 0.000
Pm6 0.333 0.667 0.500
Pm7 0.667 0.333 0.000
Pm8 0.667 0.333 0.500
Pm9 0.702 0.000 0.750
Pm10 0.702 0.702 0.250
Cd1 0.000 0.000 0.000
Cd2 0.000 0.000 0.500
Ir1 0.000 0.379 0.750
Ir2 0.000 0.621 0.250
Ir3 0.379 0.000 0.750
Ir4 0.379 0.379 0.250
Ir5 0.621 0.000 0.250
Ir6 0.621 0.621 0.750

## Properties
SG: P6_3/mcm, No. 193
size of the total moment: 0.00 μB/cell


Entry 4:
Material: Pm8CdIr2
Method: DFT, GGA-PBE
State: relaxed

abc: 8.139 8.139 5.658
angles: 97.25 97.25 114.34
Atoms (fractional coordinates):
Pm1 0.109 0.109 0.802
Pm2 0.171 0.426 0.431
Pm3 0.250 0.750 0.000
Pm4 0.426 0.171 0.431
Pm5 0.574 0.829 0.569
Pm6 0.750 0.250 0.000
Pm7 0.829 0.574 0.569
Pm8 0.891 0.891 0.198
Cd1 0.500 0.500 0.000
Ir1 0.197 0.803 0.500
Ir2 0.803 0.197 0.500

## Properties
SG: C2/m, No. 12
size of the total moment: 0.00 μB/cell


Entry 5:
Material: Pm8Cd2Ir3
Method: DFT, GGA-PBE
State: relaxed

abc: 9.059 5.020 9.065
angles: 90.00 112.11 90.00
Atoms (fractional coordinates):
Pm1 0.111 0.000 0.389
Pm2 0.142 0.500 0.866
Pm3 0.365 0.500 0.642
Pm4 0.388 0.000 0.113
Pm5 0.612 0.000 0.887
Pm6 0.635 0.500 0.358
Pm7 0.858 0.500 0.134
Pm8 0.889 0.000 0.611
Cd1 0.244 0.500 0.256
Cd2 0.756 0.500 0.744
Ir1 0.243 0.000 0.743
Ir2 0.500 0.500 0.000
Ir3 0.757 0.000 0.257

## Properties
SG: P2/m, No. 10
size of the total moment: 0.00 μB/cell


Entry 6:
Material: Pm4CdIr
Method: DFT, GGA-PBE
State: relaxed

abc: 8.015 8.015 6.203
angles: 99.57 99.57 112.14
Atoms (fractional coordinates):
Pm1 0.065 0.717 0.952
Pm2 0.202 0.363 0.607
Pm3 0.283 0.935 0.548
Pm4 0.363 0.202 0.107
Pm5 0.637 0.798 0.893
Pm6 0.717 0.065 0.452
Pm7 0.798 0.637 0.393
Pm8 0.935 0.283 0.048
Cd1 0.379 0.621 0.250
Cd2 0.621 0.379 0.750
Ir1 0.000 0.000 0.250
Ir2 0.000 0.000 0.750

## Properties
SG: C2/c, No. 15
size of the total moment: 0.00 μB/cell


Entry 7:
Material: Pm4CdIr2
Method: DFT, GGA-PBE
State: relaxed

abc: 7.840 7.840 7.840
angles: 108.87 108.87 110.68
Atoms (fractional coordinates):
Pm1 0.008 0.401 0.254
Pm2 0.147 0.754 0.746
Pm3 0.151 0.258 0.754
Pm4 0.246 0.992 0.393
Pm5 0.504 0.397 0.246
Pm6 0.599 0.853 0.607
Pm7 0.603 0.849 0.107
Pm8 0.742 0.496 0.893
Cd1 0.000 0.000 0.000
Cd2 0.750 0.250 0.500
Ir1 0.243 0.625 0.118
Ir2 0.375 0.493 0.618
Ir3 0.507 0.125 0.882
Ir4 0.875 0.757 0.382

## Properties
SG: I-42d, No. 122
size of the total moment: 0.00 μB/cell


Entry 8:
Material: Pm6CdIr3
Method: DFT, GGA-PBE
State: relaxed

abc: 8.780 8.780 7.235
angles: 90.00 90.00 99.12
Atoms (fractional coordinates):
Pm1 0.062 0.938 0.500
Pm2 0.064 0.504 0.637
Pm3 0.213 0.787 0.963
Pm4 0.312 0.371 0.029
Pm5 0.371 0.312 0.529
Pm6 0.496 0.936 0.637
Pm7 0.504 0.064 0.137
Pm8 0.629 0.688 0.029
Pm9 0.688 0.629 0.529
Pm10 0.787 0.213 0.463
Pm11 0.936 0.496 0.137
Pm12 0.938 0.062 0.000
Cd1 0.325 0.675 0.351
Cd2 0.675 0.325 0.851
Ir1 0.083 0.263 0.314
Ir2 0.263 0.083 0.814
Ir3 0.389 0.611 0.736
Ir4 0.611 0.389 0.236
Ir5 0.737 0.917 0.314
Ir6 0.917 0.737 0.814

## Properties
SG: Cmc2_1, No. 36
size of the total moment: 0.00 μB/cell


Entry 9:
Material: Pm7Cd2Ir2
Method: DFT, GGA-PBE
State: relaxed

abc: 6.958 6.958 7.331
angles: 90.00 90.00 106.80
Atoms (fractional coordinates):
Pm1 0.000 0.000 0.000
Pm2 0.000 0.500 0.250
Pm3 0.000 0.500 0.750
Pm4 0.500 0.000 0.250
Pm5 0.500 0.000 0.750
Pm6 0.500 0.500 0.244
Pm7 0.500 0.500 0.756
Cd1 0.173 0.173 0.500
Cd2 0.827 0.827 0.500
Ir1 0.288 0.712 0.000
Ir2 0.712 0.288 0.000

## Properties
SG: Cmmm, No. 65
size of the total moment: 0.00 μB/cell


Entry 10:
Material: Pm12CdIr6
Method: DFT, GGA-PBE
State: relaxed

abc: 8.856 8.856 8.856
angles: 109.47 109.47 109.47
Atoms (fractional coordinates):
Pm1 0.112 0.303 0.809
Pm2 0.191 0.495 0.303
Pm3 0.191 0.888 0.697
Pm4 0.303 0.191 0.495
Pm5 0.303 0.809 0.112
Pm6 0.495 0.303 0.191
Pm7 0.505 0.697 0.809
Pm8 0.697 0.191 0.888
Pm9 0.697 0.809 0.505
Pm10 0.809 0.112 0.303
Pm11 0.809 0.505 0.697
Pm12 0.888 0.697 0.191
Cd1 0.000 0.000 0.000
Ir1 0.124 0.500 0.624
Ir2 0.376 0.876 0.500
Ir3 0.500 0.376 0.876
Ir4 0.500 0.624 0.124
Ir5 0.624 0.124 0.500
Ir6 0.876 0.500 0.376

## Properties
SG: Im-3, No. 204
size of the total moment: 0.00 μB/cell


Entry 11:
Material: Pm3Cd2Ir
Method: DFT, GGA-PBE
State: relaxed

abc: 8.682 8.682 7.518
angles: 90.00 90.00 36.84
Atoms (fractional coordinates):
Pm1 0.001 0.999 0.750
Pm2 0.368 0.368 0.000
Pm3 0.368 0.368 0.500
Pm4 0.632 0.632 0.000
Pm5 0.632 0.632 0.500
Pm6 0.999 0.001 0.250
Cd1 0.199 0.199 0.250
Cd2 0.199 0.199 0.750
Cd3 0.801 0.801 0.250
Cd4 0.801 0.801 0.750
Ir1 0.499 0.501 0.250
Ir2 0.501 0.499 0.750

## Properties
SG: Cmcm, No. 63
size of the total moment: 0.00 μB/cell


Entry 12:
Material: Pm8Cd2Ir
Method: DFT, GGA-PBE
State: relaxed

abc: 9.513 9.513 7.040
angles: 106.56 106.56 32.90
Atoms (fractional coordinates):
Pm1 0.020 0.020 0.286
Pm2 0.202 0.202 0.794
Pm3 0.349 0.349 0.546
Pm4 0.410 0.410 0.075
Pm5 0.590 0.590 0.925
Pm6 0.651 0.651 0.454
Pm7 0.798 0.798 0.206
Pm8 0.980 0.980 0.714
Cd1 0.184 0.184 0.218
Cd2 0.816 0.816 0.782
Ir1 0.500 0.500 0.500

## Properties
SG: C2/m, No. 12
size of the total moment: 0.00 μB/cell


Entry 13:
Material: Pm4CdIr2
Method: DFT, GGA-PBE
State: relaxed

abc: 7.082 7.098 8.790
angles: 107.93 107.85 103.71
Atoms (fractional coordinates):
Pm1 0.000 0.000 0.000
Pm2 0.016 0.517 0.034
Pm3 0.156 0.298 0.467
Pm4 0.436 0.258 0.876
Pm5 0.555 0.844 0.593
Pm6 0.578 0.898 0.159
Pm7 0.706 0.348 0.566
Pm8 0.980 0.768 0.443
Cd1 0.224 0.704 0.783
Cd2 0.458 0.442 0.252
Ir1 0.284 0.961 0.324
Ir2 0.624 0.625 0.835
Ir3 0.805 0.307 0.200
Ir4 0.978 0.156 0.711

## Properties
SG: P1, No. 1
size of the total moment: 0.00 μB/cell


Entry 14:
Material: Pm7Cd2Ir2
Method: DFT, GGA-PBE
State: relaxed

abc: 9.653 9.653 9.653
angles: 156.80 71.71 113.25
Atoms (fractional coordinates):
Pm1 0.000 0.000 0.000
Pm2 0.052 0.699 0.353
Pm3 0.332 0.500 0.832
Pm4 0.346 0.699 0.647
Pm5 0.650 0.304 0.346
Pm6 0.667 0.500 0.168
Pm7 0.958 0.304 0.654
Cd1 0.441 0.941 0.500
Cd2 0.688 0.688 0.000
Ir1 0.202 0.008 0.194
Ir2 0.814 0.008 0.806

## Properties
SG: Imm2, No. 44
size of the total moment: 0.00 μB/cell


Entry 15:
Material: Pm6CdIr2
Method: DFT, GGA-PBE
State: relaxed

abc: 8.727 8.727 8.727
angles: 113.22 111.06 104.26
Atoms (fractional coordinates):
Pm1 0.035 0.237 0.798
Pm2 0.180 0.286 0.467
Pm3 0.180 0.714 0.894
Pm4 0.329 0.019 0.690
Pm5 0.329 0.639 0.310
Pm6 0.438 0.237 0.202
Pm7 0.562 0.763 0.798
Pm8 0.671 0.361 0.690
Pm9 0.671 0.981 0.310
Pm10 0.820 0.286 0.106
Pm11 0.820 0.714 0.533
Pm12 0.965 0.763 0.202
Cd1 0.000 0.000 0.000
Cd2 0.500 0.500 0.000
Ir1 0.129 0.629 0.500
Ir2 0.331 0.000 0.331
Ir3 0.669 0.000 0.669
Ir4 0.871 0.371 0.500

## Properties
SG: Immm, No. 71
size of the total moment: 0.00 μB/cell


Entry 16:
Material: Pm2CdIr2
Method: DFT, GGA-PBE
State: relaxed

abc: 5.659 5.659 5.659
angles: 133.26 115.93 82.95
Atoms (fractional coordinates):
Pm1 0.209 0.209 0.000
Pm2 0.791 0.791 0.000
Cd1 0.500 0.000 0.500
Ir1 0.211 0.500 0.711
Ir2 0.789 0.500 0.289

## Properties
SG: Immm, No. 71
size of the total moment: 0.00 μB/cell


Entry 17:
Material: Pm6CdIr
Method: DFT, GGA-PBE
State: relaxed

abc: 6.864 6.864 6.714
angles: 101.90 101.90 113.70
Atoms (fractional coordinates):
Pm1 0.009 0.394 0.245
Pm2 0.235 0.235 0.775
Pm3 0.394 0.009 0.245
Pm4 0.606 0.991 0.755
Pm5 0.765 0.765 0.225
Pm6 0.991 0.606 0.755
Cd1 0.500 0.500 0.500
Ir1 0.000 0.000 0.000

## Properties
SG: C2/m, No. 12
size of the total moment: 0.00 μB/cell


Entry 18:
Material: Pm3CdIr
Method: DFT, GGA-PBE
State: relaxed

abc: 9.711 8.962 5.991
angles: 78.22 64.62 37.15
Atoms (fractional coordinates):
Pm1 0.201 0.201 0.799
Pm2 0.201 0.580 0.420
Pm3 0.420 0.799 0.201
Pm4 0.580 0.201 0.799
Pm5 0.799 0.420 0.580
Pm6 0.799 0.799 0.201
Cd1 0.207 0.793 0.793
Cd2 0.793 0.207 0.207
Ir1 0.250 0.250 0.250
Ir2 0.750 0.750 0.750

## Properties
SG: Fmmm, No. 69
size of the total moment: 0.00 μB/cell


Entry 19:
Material: Pm5CdIr2
Method: DFT, GGA-PBE
State: relaxed

abc: 8.920 8.920 8.920
angles: 126.62 126.62 78.88
Atoms (fractional coordinates):
Pm1 0.000 0.000 0.000
Pm2 0.028 0.528 0.821
Pm3 0.207 0.028 0.500
Pm4 0.293 0.793 0.821
Pm5 0.472 0.293 0.500
Pm6 0.500 0.500 0.000
Pm7 0.528 0.707 0.500
Pm8 0.707 0.207 0.179
Pm9 0.793 0.972 0.500
Pm10 0.972 0.472 0.179
Cd1 0.250 0.250 0.000
Cd2 0.750 0.750 0.000
Ir1 0.139 0.361 0.500
Ir2 0.361 0.861 0.222
Ir3 0.639 0.139 0.778
Ir4 0.861 0.639 0.500

## Properties
SG: I4/mcm, No. 140
size of the total moment: 0.00 μB/cell


| no. | calculated formation energy (meV per atom) |
| --- | --- |
| 1 | -240.2 |
| 2 | -447.1 |
| 3 | -430.0 |
| 4 | -299.3 |
| 5 | -344.1 |
| 6 | -363.1 |
| 7 | -454.8 |
| 8 | -509.9 |
| 9 | -349.6 |
| 10 | -480.8 |
| 11 | -395.1 |
| 12 | -229.8 |
| 13 | -509.6 |
| 14 | -356.5 |
| 15 | -467.1 |
| 16 | -608.7 |
| 17 | -89.7 |
| 18 | -443.2 |
| 19 | -529.6 |